The following is a DFT calculation (PBE-GGA) of crystalline KVSe2Br at its relaxed geometry.

E_tot = -2.886 eV per atom
ΔE_f (raw) = 85.48 kJ/mol of atoms
calculated volume = 188 Å³/cell
symmetry = P4/mmm
energy above the lowest structure with this stoichiometry = 38.554 kcal/mol of atoms

a = 5.7500 Å, b = 5.7500 Å, c = 5.6749 Å
α = 90.00°, β = 90.00°, γ = 90.00°
Closest atoms and distances in Å follow each position.
Atoms (fractional coordinates):
Se 0.0000 0.5000 0.0000  2 K 2.88
Se 0.5000 0.0000 0.0000  2 K 2.88
K 0.0000 0.0000 0.0000  2 Br 2.84, 4 Se 2.88
Br 0.0000 0.0000 0.5000  2 K 2.84
V 0.5000 0.5000 0.5000  8 Se 4.04, 4 Br 4.07